Record 1
VASP calculation (PBE) on a relaxed structure of ThCrP2Ru.

Cell: 4.0826 4.0826 5.7015 Å, 110.98 110.98 90.00°
Closest atoms and distances in Å follow each position.
Fractional positions:
Ru 0.7500 0.2500 0.5000  4 P 2.33
Cr 0.2500 0.7500 0.5000  4 P 2.33
P 0.6352 0.6352 0.2705  2 Cr 2.33, 2 Ru 2.33
Th 0.0000 0.0000 0.0000  8 P 3.18, 4 Cr 3.20, 4 Ru 3.20
P 0.3648 0.3648 0.7295  2 Cr 2.33, 2 Ru 2.33

- energy of formation from the pure elements (eV per atom) = -0.8831
- symmetry = No. 119



Record 2
VASP calculation (PBE) on a relaxed structure of UCrP2Ru5.

Cell: 4.0677 4.0677 10.7976 Å, 90.00 90.00 90.00°
Closest atoms and distances in Å follow each position.
Fractional positions:
U 0.5000 0.5000 0.5000  12 Ru 2.83-2.88
Ru 0.0000 0.5000 0.6823  2 P 2.31
Ru 0.0000 0.0000 0.5000  8 Ru 2.83, 4 U 2.88, 2 P 3.05
Cr 0.0000 0.0000 0.0000  2 P 2.35
Ru 0.0000 0.5000 0.3177  2 P 2.31
Ru 0.5000 0.0000 0.6823  2 P 2.31
P 0.0000 0.0000 0.7827  4 Ru 2.31, 1 Cr 2.35
Ru 0.5000 0.0000 0.3177  2 P 2.31
P 0.0000 0.0000 0.2173  4 Ru 2.31, 1 Cr 2.35

- energy of formation from the pure elements (eV per atom) = 0.0106
- symmetry = No. 123



Record 3
VASP calculation (PBE) on a relaxed structure of CrP2S2.

Cell: 4.2677 4.2677 4.8493 Å, 90.00 90.00 90.00°
Closest atoms and distances in Å follow each position.
Fractional positions:
P 0.5000 0.5000 0.5000  4 P 3.02, 8 S 3.23
S 0.5000 0.0000 0.0000  2 Cr 2.13
P 0.0000 0.0000 0.5000  2 Cr 2.42
S 0.0000 0.5000 0.0000  2 Cr 2.13
Cr 0.0000 0.0000 0.0000  4 S 2.13

- E above lowest polymorph (meV per atom) = 139
- raw formation energy (eV/atom) = 0.633
- symmetry = No. 123



Record 4
VASP calculation (PBE) on a relaxed structure of CrPS.

Cell: 3.0669 5.3524 10.3368 Å, 90.00 90.00 90.00°
Closest atoms and distances in Å follow each position.
Fractional positions:
Cr 0.2500 0.2641 0.2514  3 S 2.25, 3 P 2.33-2.40
S 0.2500 0.5710 0.8833  3 Cr 2.25
Cr 0.2500 0.2359 0.7514  3 S 2.25, 3 P 2.33-2.40
S 0.2500 0.9290 0.3833  3 Cr 2.25
P 0.2500 0.5527 0.5974  3 Cr 2.33-2.40, 2 P 2.59
Cr 0.7500 0.7359 0.7486  3 S 2.25, 3 P 2.33-2.40
S 0.7500 0.0710 0.6167  3 Cr 2.25
S 0.7500 0.4290 0.1167  3 Cr 2.25
Cr 0.7500 0.7641 0.2486  3 S 2.25, 3 P 2.33-2.40
P 0.7500 0.0527 0.9026  3 Cr 2.33-2.40, 2 P 2.59
P 0.7500 0.4473 0.4026  3 Cr 2.33-2.40, 2 P 2.59
P 0.2500 0.9473 0.0974  3 Cr 2.33-2.40, 2 P 2.59

- raw formation energy (eV/atom) = -0.305
- symmetry = No. 62



> Which formula does entry 3 have?

CrP2S2